{"formula": "SrCuRh", "functional": "PBEsol", "state": "relaxed", "space_group": "F-43m, No. 216", "magnetic_moment_mub_per_fu": 0.00, "relative_energy_ev_per_atom": 0.946, "dos_at_fermi_per_ev_cell": 1.40, "ef_ev_per_atom": 0.93, "lattice": [[-0.546, 4.516, -0.056], [-2.370, 1.963, -3.351], [-4.085, 1.808, 0.860]], "species": ["Rh", "Cu", "Sr"], "fractional_positions": [[0.500, 0.500, 0.500], [0.000, 0.000, 0.000], [0.250, 0.250, 0.250]]}